Entry from the Alexandria database: a geometry-optimized BaLaO2F structure (GGA-PBE).

a = 4.949 Å, b = 4.949 Å, c = 4.694 Å
α = 90.00°, β = 90.00°, γ = 90.00°
Space group P4/mmm (No. 123)
Unique sites:
1 Ba 0.000 0.000 0.000 x1
2 La 0.500 0.500 0.500 x1
3 O 0.000 0.500 0.000 x2
4 F 0.000 0.000 0.500 x1

Values from the calculation:
crystal system	tetragonal
formation energy from raw total energies	-1898	meV/atom
total energy	-5.625	eV per atom



Entry from the Alexandria database: a geometry-optimized Rb3U3CuTe8 structure (GGA-PBE).

a = 14.727 Å, b = 9.282 Å, c = 9.709 Å
α = 90.00°, β = 117.25°, γ = 90.00°
Space group C2/m (No. 12)
Unique sites:
1 Rb 0.000 0.000 0.000 x2
2 Rb 0.250 0.250 0.000 x4
3 U 0.000 0.500 0.500 x2
4 U 0.250 0.250 0.500 x4
5 Cu 0.000 0.000 0.500 x2
6 Te 0.024 0.275 0.293 x8
7 Te 0.197 0.000 0.667 x4
8 Te 0.234 0.500 0.703 x4

Values from the calculation:
crystal system	monoclinic
formation energy from raw total energies	-683	meV/atom
total energy	-5.083	eV per atom



Entry from the Alexandria database: a geometry-optimized CsSc2IrN structure (GGA-PBE).

a = 5.502 Å, b = 5.502 Å, c = 3.834 Å
α = 90.00°, β = 90.00°, γ = 90.00°
Space group P4/mmm (No. 123)
Unique sites:
1 Cs 0.000 0.000 0.000 x1
2 Sc 0.000 0.500 0.500 x2
3 Ir 0.500 0.500 0.500 x1
4 N 0.500 0.500 0.000 x1

Values from the calculation:
crystal system	tetragonal
formation energy from raw total energies	556	meV/atom
total energy	-5.585	eV per atom



Entry from the Alexandria database: a geometry-optimized Al2CoTe structure (GGA-PBE).

a = 5.364 Å, b = 10.176 Å, c = 3.228 Å
α = 90.00°, β = 126.63°, γ = 90.00°
Space group C2/m (No. 12)
Unique sites:
1 Al 0.250 0.250 0.000 x4
2 Co 0.000 0.000 0.000 x2
3 Te 0.000 0.500 0.000 x2

Values from the calculation:
crystal system	monoclinic
formation energy from raw total energies	268	meV/atom
total energy	-4.165	eV per atom



Entry from the Alexandria database: a geometry-optimized ScCo structure (GGA-PBE).

a = 8.511 Å, b = 8.511 Å, c = 4.199 Å
α = 90.00°, β = 90.00°, γ = 90.00°
Space group P4/mcc (No. 124)
Unique sites:
1 Sc 0.135 0.341 0.000 x8
2 Co 0.300 0.420 0.500 x8

Values from the calculation:
crystal system	tetragonal
total energy	-6.698	eV per atom
ΔE_f	0.021	eV/atom



Entry from the Alexandria database: a geometry-optimized LiVSi structure (GGA-PBE).

a = 11.327 Å, b = 3.824 Å, c = 3.837 Å
α = 90.00°, β = 97.21°, γ = 90.00°
Space group C2/m (No. 12)
Unique sites:
1 Li 0.069 0.000 0.232 x4
2 V 0.245 0.000 0.758 x4
3 Si 0.103 0.500 0.678 x4

Values from the calculation:
crystal system	monoclinic
formation energy from raw total energies	-138	meV/atom
total energy	-5.623	eV per atom



What are the total moment values for these records? In order: 0.5 6.0 0.0 0.0 0.0 0.0 μB/f.u..